Entry from the Alexandria database: a relaxed VGeOsO6 crystal (GGA+U).

Values from the calculation:
Total energy in eV per atom: -7.28
Space-group type: P-31c (163)

Structure (POSCAR):
```
VGeOsO6
1.0
4.8892 0.0000 0.0000
-2.4446 4.2342 0.0000
0.0000 0.0000 8.8570
Os O Ge V
2 12 2 2
Direct
0.3333 0.6667 0.7500
0.6667 0.3333 0.2500
0.9999 0.6744 0.3771
0.6745 0.0001 0.3771
0.0001 0.3256 0.6229
0.3256 0.0001 0.1229
0.3255 0.9999 0.6229
0.3255 0.3256 0.8771
0.0001 0.6745 0.8771
0.6745 0.6744 0.1229
0.6744 0.9999 0.8771
0.6744 0.6745 0.6229
0.3256 0.3255 0.3771
0.9999 0.3255 0.1229
0.0000 0.0000 0.0000
0.0000 0.0000 0.5000
0.6667 0.3333 0.7500
0.3333 0.6667 0.2500
```